The following is a DFT calculation (PBE) of a relaxed structure of CaFeN2.

a b c (Å): 4.867 4.867 8.908
angles (deg): 90.00 90.00 90.00
Space group I-42d (No. 122)
Symmetry-distinct sites (fractional):
Ca 0.000 0.000 0.000 [4 per cell]
Fe 0.000 0.000 0.500 [4 per cell]
N 0.149 0.250 0.625 [8 per cell]

Calculated values
E_tot = -7.178 eV/atom
formation energy (no corrections) = -399.4 meV/atom
DOS(E_F) = 0.636 states/eV/atom